[1]
First-principles (PBE-GGA) data for PuPdRh after structural relaxation, as listed in Alexandria via LeMat-Bulk.

Geometry as POSCAR:
```
PuPdRh
1.0
1.453 -8.251 0.000
1.453 8.251 0.000
0.000 0.000 4.762
Pu Pd Rh
2 2 2
direct
0.115 0.885 0.750
0.885 0.115 0.250
0.225 0.775 0.250
0.775 0.225 0.750
0.049 0.951 0.250
0.951 0.049 0.750
```

Computed properties:
Space group: Cmcm (63)



[2]
First-principles (PBE-GGA) data for Pu8Pd5Rh after structural relaxation, as listed in Alexandria via LeMat-Bulk.

Geometry as POSCAR:
```
Pu8Pd5Rh
1.0
-4.334 4.334 4.366
4.334 -4.334 4.366
4.334 4.334 -4.366
Pu Pd Rh
8 5 1
direct
0.020 0.626 0.745
0.228 0.488 0.112
0.374 0.119 0.394
0.376 0.115 0.888
0.512 0.624 0.740
0.725 0.980 0.606
0.881 0.275 0.255
0.885 0.772 0.260
0.000 0.000 0.000
0.125 0.251 0.633
0.507 0.875 0.126
0.619 0.493 0.367
0.749 0.381 0.874
0.250 0.750 0.500
```

Computed properties:
Space group: I-4 (82)



[3]
First-principles (PBE-GGA) data for Pu3PdRh after structural relaxation, as listed in Alexandria via LeMat-Bulk.

Geometry as POSCAR:
```
Pu3PdRh
1.0
6.888 0.000 0.000
0.000 6.888 0.000
0.000 0.000 6.888
Pu Pd Rh
9 3 3
direct
0.000 0.000 0.000
0.259 0.259 0.259
0.259 0.259 0.741
0.259 0.741 0.259
0.259 0.741 0.741
0.741 0.259 0.259
0.741 0.259 0.741
0.741 0.741 0.259
0.741 0.741 0.741
0.000 0.000 0.500
0.000 0.500 0.000
0.500 0.000 0.000
0.000 0.500 0.500
0.500 0.000 0.500
0.500 0.500 0.000
```

Computed properties:
Space group: Pm-3m (221)



Number 1: energy -9.0684 eV/atom, formation energy -0.11 eV/atom, density 13.18 g cm⁻³. Number 2: energy -10.8920 eV/atom, formation energy -0.32 eV/atom, density 13.09 g cm⁻³. Number 3: energy -11.3533 eV/atom, formation energy -0.25 eV/atom, density 14.35 g cm⁻³.